VASP calculation (PBE) on crystalline CsTlAgBr2 at its relaxed geometry.

```
data_CsTlAgBr2
_chemical_formula_sum 'Cs1 Tl1 Ag1 Br2'
_cell_length_a 6.0018
_cell_length_b 6.0018
_cell_length_c 5.3931
_cell_angle_alpha 90.00
_cell_angle_beta 90.00
_cell_angle_gamma 90.00
_symmetry_space_group_name_H-M 'P 1'
_symmetry_Int_Tables_number 1
_symmetry_space_group_name_Hall 'P 1'
loop_
_atom_site_label
_atom_site_type_symbol
_atom_site_fract_x
_atom_site_fract_y
_atom_site_fract_z
Cs1 Cs 0.0000 0.0000 0.0000
Tl1 Tl 0.5000 0.5000 0.0000
Ag1 Ag 0.5000 0.5000 0.5000
Br1 Br 0.0000 0.5000 0.5000
Br2 Br 0.5000 0.0000 0.5000
```

Computed properties:
Formation energy from raw total energies = -0.6306 eV per atom
SG = P4/mmm

VASP calculation (PBE) on crystalline Sm2YPaRu2 at its relaxed geometry.

```
data_Sm2YPaRu2
_chemical_formula_sum 'Sm4 Y2 Pa2 Ru4'
_cell_length_a 8.3658
_cell_length_b 8.3658
_cell_length_c 8.3658
_cell_angle_alpha 131.27
_cell_angle_beta 70.73
_cell_angle_gamma 132.11
_symmetry_space_group_name_H-M 'P 1'
_symmetry_Int_Tables_number 1
_symmetry_space_group_name_Hall 'P 1'
loop_
_atom_site_label
_atom_site_type_symbol
_atom_site_fract_x
_atom_site_fract_y
_atom_site_fract_z
Sm1 Sm 0.1946 0.2119 0.4065
Sm2 Sm 0.3054 0.7119 0.0172
Sm3 Sm 0.6946 0.2881 0.9828
Sm4 Sm 0.8054 0.7881 0.5935
Y1 Y 0.2500 0.7500 0.5000
Y2 Y 0.7500 0.2500 0.5000
Pa1 Pa 0.2500 0.2500 0.0000
Pa2 Pa 0.7500 0.7500 0.0000
Ru1 Ru 0.0998 0.7940 0.8938
Ru2 Ru 0.4002 0.2940 0.6941
Ru3 Ru 0.5998 0.7060 0.3059
Ru4 Ru 0.9002 0.2060 0.1062
```

Computed properties:
Formation energy from the elements = -0.289 eV per atom
SG = Ibam